First-principles (meta-GGA SCAN) data for a crystal of ZrMn2Hg relaxed with PBEsol, as listed in Alexandria.

Cell: 4.837 4.837 4.837 Å, 129.93 129.93 73.52°
Fractional coordinates of all 4 atoms:
Zr  0.000  0.000  0.000
Mn  0.250  0.750  0.500
Mn  0.750  0.250  0.500
Hg  0.500  0.500  0.000

calculated volume = 65.0 Å³/cell
Fermi-level density of states = 2.43 states/eV per cell
calculated total energy = -33.975 eV per atom
calculated formation energy = -0.131 eV per atom